1.
## Cs2SnF4 (PBE)

Data for crystalline Cs2SnF4 at its relaxed geometry.

Cell lengths 8.2616, 8.2616, 8.2616 Å; angles 146.21, 146.21, 48.53 degrees
Closest atoms and distances in Å follow each position.
Positions (direct):
Cs: 0.1476 0.1476 0.0000  1 F 2.92
Cs: 0.8524 0.8524 0.0000  1 F 2.92
Sn: 0.5000 0.5000 0.0000  6 F 2.39-2.40
F: 0.0000 0.5000 0.5000  2 Sn 2.40
F: 0.3414 0.3414 0.0000  1 Sn 2.39
F: 0.5000 0.0000 0.5000  2 Sn 2.40
F: 0.6586 0.6586 0.0000  1 Sn 2.39

## Properties
SG: I4/mmm
Crystal system: tetragonal
Magnetization, μB/f.u.: 0.000
Total energy, eV per atom: -4.41
Calculated volume, Å³/cell: 174
Density, g cm⁻³: 4.4
Raw formation energy, eV per formula unit: -17.702

***

2.
## CsSn3F (PBE)

Data for crystalline CsSn3F at its relaxed geometry.

Cell lengths 6.3773, 6.3773, 6.3773 Å; angles 90.00, 90.00, 90.00 degrees
Closest atoms and distances in Å follow each position.
Positions (direct):
Cs: 0.0000 0.0000 0.0000  6 Sn 3.19
Sn: 0.0000 0.0000 0.5000  2 Cs 3.19
Sn: 0.0000 0.5000 0.0000  2 Cs 3.19
Sn: 0.5000 0.0000 0.0000  2 Cs 3.19
F: 0.5000 0.5000 0.5000  12 Sn 4.51

## Properties
SG: Pm-3m
Crystal system: cubic
Magnetization, μB/f.u.: 0.000
Total energy, eV per atom: -1.81
Calculated volume, Å³/cell: 259
Density, g cm⁻³: 3.3
Raw formation energy, eV per formula unit: 5.694

***

3.
## CsSnF6 (PBE)

Data for crystalline CsSnF6 at its relaxed geometry.

Cell lengths 6.6015, 6.6015, 6.6015 Å; angles 51.99, 51.99, 51.99 degrees
Closest atoms and distances in Å follow each position.
Positions (direct):
Cs: 0.0000 0.0000 0.0000  12 F 3.33
Sn: 0.5000 0.5000 0.5000  6 F 2.00
F: 0.1094 0.5904 0.5904  1 Sn 2.00
F: 0.4096 0.4096 0.8906  1 Sn 2.00
F: 0.4096 0.8906 0.4096  1 Sn 2.00
F: 0.5904 0.1094 0.5904  1 Sn 2.00
F: 0.5904 0.5904 0.1094  1 Sn 2.00
F: 0.8906 0.4096 0.4096  1 Sn 2.00

## Properties
SG: R-3m
Crystal system: trigonal
Magnetization, μB/f.u.: 1.062
Total energy, eV per atom: -4.25
Calculated volume, Å³/cell: 165
Density, g cm⁻³: 3.7
Raw formation energy, eV per formula unit: -17.903

***

4.
## Cs12Sn3F5 (PBE)

Data for crystalline Cs12Sn3F5 at its relaxed geometry.

Cell lengths 17.2095, 17.2095, 17.2095 Å; angles 109.47, 109.47, 109.47 degrees
Closest atoms and distances in Å follow each position.
Positions (direct):
Cs: 0.0145 0.1959 0.1139  2 F 2.89-3.16
Cs: 0.0145 0.3186 0.9007  2 F 2.89-3.16
Cs: 0.0820 0.6959 0.6814  2 F 2.89-3.16
Cs: 0.0820 0.8861 0.4007  2 F 2.89-3.16
Cs: 0.0993 0.6139 0.4180  2 F 2.89-3.16
Cs: 0.0993 0.9855 0.6814  2 F 2.89-3.16
Cs: 0.1139 0.0145 0.1959  2 F 2.89-3.16
Cs: 0.1139 0.5993 0.9180  2 F 2.89-3.16
Cs: 0.1814 0.1959 0.5820  2 F 2.89-3.16
Cs: 0.1814 0.4855 0.5993  2 F 2.89-3.16
Cs: 0.1959 0.1139 0.0145  2 F 2.89-3.16
Cs: 0.1959 0.5820 0.1814  2 F 2.89-3.16
Cs: 0.3041 0.3186 0.9180  2 F 2.89-3.16
Cs: 0.3041 0.4855 0.3861  2 F 2.89-3.16
Cs: 0.3186 0.9007 0.0145  2 F 2.89-3.16
Cs: 0.3186 0.9180 0.3041  2 F 2.89-3.16
Cs: 0.3861 0.3041 0.4855  2 F 2.89-3.16
Cs: 0.3861 0.5820 0.9007  2 F 2.89-3.16
Cs: 0.4007 0.0820 0.8861  2 F 2.89-3.16
Cs: 0.4007 0.8186 0.5145  2 F 2.89-3.16
Cs: 0.4180 0.0993 0.6139  2 F 2.89-3.16
Cs: 0.4180 0.8186 0.8041  2 F 2.89-3.16
Cs: 0.4855 0.3861 0.3041  2 F 2.89-3.16
Cs: 0.4855 0.5993 0.1814  2 F 2.89-3.16
Cs: 0.5145 0.4007 0.8186  2 F 2.89-3.16
Cs: 0.5145 0.6139 0.6959  2 F 2.89-3.16
Cs: 0.5820 0.1814 0.1959  2 F 2.89-3.16
Cs: 0.5820 0.9007 0.3861  2 F 2.89-3.16
Cs: 0.5993 0.1814 0.4855  2 F 2.89-3.16
Cs: 0.5993 0.9180 0.1139  2 F 2.89-3.16
Cs: 0.6139 0.4180 0.0993  2 F 2.89-3.16
Cs: 0.6139 0.6959 0.5145  2 F 2.89-3.16
Cs: 0.6814 0.0820 0.6959  2 F 2.89-3.16
Cs: 0.6814 0.0993 0.9855  2 F 2.89-3.16
Cs: 0.6959 0.5145 0.6139  2 F 2.89-3.16
Cs: 0.6959 0.6814 0.0820  2 F 2.89-3.16
Cs: 0.8041 0.4180 0.8186  2 F 2.89-3.16
Cs: 0.8041 0.8861 0.9855  2 F 2.89-3.16
Cs: 0.8186 0.5145 0.4007  2 F 2.89-3.16
Cs: 0.8186 0.8041 0.4180  2 F 2.89-3.16
Cs: 0.8861 0.4007 0.0820  2 F 2.89-3.16
Cs: 0.8861 0.9855 0.8041  2 F 2.89-3.16
Cs: 0.9007 0.0145 0.3186  2 F 2.89-3.16
Cs: 0.9007 0.3861 0.5820  2 F 2.89-3.16
Cs: 0.9180 0.1139 0.5993  2 F 2.89-3.16
Cs: 0.9180 0.3041 0.3186  2 F 2.89-3.16
Cs: 0.9855 0.6814 0.0993  2 F 2.89-3.16
Cs: 0.9855 0.8041 0.8861  2 F 2.89-3.16
Sn: 0.1250 0.2500 0.3750  8 Cs 3.87-4.09
Sn: 0.1250 0.3750 0.7500  8 Cs 3.87-4.09
Sn: 0.2500 0.3750 0.1250  8 Cs 3.87-4.09
Sn: 0.2500 0.8750 0.6250  8 Cs 3.87-4.09
Sn: 0.3750 0.1250 0.2500  8 Cs 3.87-4.09
Sn: 0.3750 0.7500 0.1250  8 Cs 3.87-4.09
Sn: 0.6250 0.2500 0.8750  8 Cs 3.87-4.09
Sn: 0.6250 0.8750 0.7500  8 Cs 3.87-4.09
Sn: 0.7500 0.1250 0.3750  8 Cs 3.87-4.09
Sn: 0.7500 0.6250 0.8750  8 Cs 3.87-4.09
Sn: 0.8750 0.6250 0.2500  8 Cs 3.87-4.09
Sn: 0.8750 0.7500 0.6250  8 Cs 3.87-4.09
F: 0.0000 0.0000 0.0000  6 Cs 3.16
F: 0.0000 0.0000 0.5000  6 Cs 3.16
F: 0.0000 0.5000 0.0000  6 Cs 3.16
F: 0.0000 0.5000 0.5000  6 Cs 3.16
F: 0.1250 0.7500 0.8750  4 Cs 2.89
F: 0.1250 0.8750 0.2500  4 Cs 2.89
F: 0.2500 0.1250 0.8750  4 Cs 2.89
F: 0.2500 0.6250 0.3750  4 Cs 2.89
F: 0.3750 0.2500 0.6250  4 Cs 2.89
F: 0.3750 0.6250 0.7500  4 Cs 2.89
F: 0.5000 0.0000 0.0000  6 Cs 3.16
F: 0.5000 0.0000 0.5000  6 Cs 3.16
F: 0.5000 0.5000 0.0000  6 Cs 3.16
F: 0.5000 0.5000 0.5000  6 Cs 3.16
F: 0.6250 0.3750 0.2500  4 Cs 2.89
F: 0.6250 0.7500 0.3750  4 Cs 2.89
F: 0.7500 0.3750 0.6250  4 Cs 2.89
F: 0.7500 0.8750 0.1250  4 Cs 2.89
F: 0.8750 0.1250 0.7500  4 Cs 2.89
F: 0.8750 0.2500 0.1250  4 Cs 2.89

## Properties
SG: Ia-3d
Crystal system: cubic
Magnetization, μB/f.u.: 5.057
Total energy, eV per atom: -2.85
Calculated volume, Å³/cell: 3924
Density, g cm⁻³: 3.5
Raw formation energy, eV per formula unit: -25.452

***

5.
## CsSnF2 (PBE)

Data for crystalline CsSnF2 at its relaxed geometry.

Cell lengths 5.0250, 5.0250, 5.0250 Å; angles 60.00, 60.00, 60.00 degrees
Closest atoms and distances in Å follow each position.
Positions (direct):
Cs: 0.0000 0.0000 0.0000  8 F 3.08
Sn: 0.5000 0.5000 0.5000  8 F 3.08
F: 0.2500 0.2500 0.2500  4 Sn 3.08, 4 Cs 3.08
F: 0.7500 0.7500 0.7500  4 Sn 3.08, 4 Cs 3.08

## Properties
SG: Fm-3m
Crystal system: cubic
Magnetization, μB/f.u.: 0.000
Total energy, eV per atom: -3.60
Calculated volume, Å³/cell: 90
Density, g cm⁻³: 5.4
Raw formation energy, eV per formula unit: -5.794

***

6.
## CsSnF5 (PBE)

Data for crystalline CsSnF5 at its relaxed geometry.

Cell lengths 7.3695, 7.3695, 8.3969 Å; angles 124.71, 124.71, 71.16 degrees
Closest atoms and distances in Å follow each position.
Positions (direct):
Cs: 0.0010 0.9990 0.7500  8 F 3.12-3.13
Cs: 0.9990 0.0010 0.2500  8 F 3.12-3.13
Sn: 0.5000 0.5000 0.0000  6 F 1.97-2.10
Sn: 0.5000 0.5000 0.5000  6 F 1.97-2.10
F: 0.2687 0.2707 0.2696  1 Sn 1.97
F: 0.2692 0.7288 0.0011  1 Sn 1.97
F: 0.2707 0.2687 0.7696  1 Sn 1.97
F: 0.2712 0.7308 0.4989  1 Sn 1.97
F: 0.4973 0.5027 0.7500  2 Sn 2.10
F: 0.5027 0.4973 0.2500  2 Sn 2.10
F: 0.7288 0.2692 0.5011  1 Sn 1.97
F: 0.7293 0.7313 0.2304  1 Sn 1.97
F: 0.7308 0.2712 0.9989  1 Sn 1.97
F: 0.7313 0.7293 0.7304  1 Sn 1.97

## Properties
SG: C2/c
Crystal system: monoclinic
Magnetization, μB/f.u.: 0.000
Total energy, eV per atom: -4.70
Calculated volume, Å³/cell: 308
Density, g cm⁻³: 3.7
Raw formation energy, eV per formula unit: -18.696

***

7.
## CsSnF2 (PBE)

Data for crystalline CsSnF2 at its relaxed geometry.

Cell lengths 8.5272, 8.5272, 8.5272 Å; angles 26.26, 26.26, 26.26 degrees
Closest atoms and distances in Å follow each position.
Positions (direct):
Cs: 0.0000 0.0000 0.0000  6 F 2.92
Sn: 0.5000 0.5000 0.5000  2 F 2.24
F: 0.4093 0.4093 0.4093  1 Sn 2.24
F: 0.5907 0.5907 0.5907  1 Sn 2.24

## Properties
SG: R-3m
Crystal system: trigonal
Magnetization, μB/f.u.: 0.000
Total energy, eV per atom: -4.16
Calculated volume, Å³/cell: 107
Density, g cm⁻³: 4.5
Raw formation energy, eV per formula unit: -8.060

***

8.
## Cs3SnF (PBE)

Data for crystalline Cs3SnF at its relaxed geometry.

Cell lengths 8.3631, 8.3631, 8.9264 Å; angles 117.99, 117.99, 60.00 degrees
Closest atoms and distances in Å follow each position.
Positions (direct):
Cs: 0.0863 0.5728 0.2460  2 F 3.02-3.06
Cs: 0.0866 0.0866 0.2462  2 F 3.02-3.06
Cs: 0.4272 0.9137 0.7540  2 F 3.02-3.06
Cs: 0.5728 0.0863 0.2460  2 F 3.02-3.06
Cs: 0.9134 0.9134 0.7538  2 F 3.02-3.06
Cs: 0.9137 0.4272 0.7540  2 F 3.02-3.06
Sn: 0.4377 0.4377 0.8129  1 Sn 2.81
Sn: 0.5623 0.5623 0.1871  1 Sn 2.81
F: 0.1643 0.1643 0.9929  6 Cs 3.02-3.06
F: 0.8357 0.8357 0.0071  6 Cs 3.02-3.06

## Properties
SG: C2/m
Crystal system: monoclinic
Magnetization, μB/f.u.: 0.118
Total energy, eV per atom: -2.73
Calculated volume, Å³/cell: 454
Density, g cm⁻³: 3.9
Raw formation energy, eV per formula unit: -5.230